Entry 1:
Li2PbBr | Alexandria | PBE-GGA | relaxed; formation energy without anion corrections = -0.516 eV per atom; raw total energy = -2.8183 eV per atom; energy above the lowest structure with this stoichiometry = 0.241 eV per atom; total magnetization = 0.0 μB per formula unit; SG = No. 6
1.0
7.091 0.000 0.000
0.000 3.878 -0.015
0.000 0.015 3.879
Br Li Pb
1 2 1
direct
0.500 0.626 0.641 Br
0.000 0.123 0.106 Li
0.500 0.127 0.146 Li
0.000 0.623 0.607 Pb

***

Entry 2:
LiPb2Br | Alexandria | PBE-GGA | relaxed; formation energy without anion corrections = -0.614 eV per atom; raw total energy = -3.3651 eV per atom; energy above the lowest structure with this stoichiometry = 0.000 eV per atom; total magnetization = 0.0 μB per formula unit; SG = No. 6
1.0
3.564 0.000 0.000
0.000 3.568 0.013
0.000 1.973 10.097
Br Li Pb
1 1 2
direct
0.000 0.440 0.626 Br
0.500 0.949 0.608 Li
0.000 0.870 0.019 Pb
0.500 0.242 0.246 Pb